7
Lattice="3.6601 -0.0013 -0.8216 -2.2647 5.5017 -1.5278 -0.0768 0.1148 8.2374" Properties=species:S:1:pos:R:3 comment="Dy3Sc2Ru2, optimized geometry, DFT PBE" magnetic_moment_mub_per_fu=0.00 volume_a3_per_cell=166.4 e_tot_ev_per_atom=-6.76 dos_ef_per_ev_fu=5.619 delta_e_f_mev_per_atom=-332 pbc="T T T"
Dy 1.8301 -0.0007 -0.4108
Dy -1.1865 4.4806 3.2834
Dy 2.5051 1.1346 2.6045
Sc 1.2350 2.7418 5.5145
Sc 0.0836 2.8734 0.3735
Ru -1.8157 4.6684 0.4804
Ru 3.1343 0.9468 5.4076